# 1
First-principles (PBE) data for a geometry-optimized KZn2F structure, as listed in Alexandria.

Computed properties:
ΔE to the lowest computed polymorph   323 meV/atom
Electronic total energy   -1.815 eV/atom
Raw formation energy   -435.3 meV/atom
DOS(E_F)   0.0000 states/eV per atom
Total magnetization   0.00 μB/cell
Crystal system   cubic

abc: 5.3030 5.3030 5.3030
angles: 60.00 60.00 60.00
Closest atoms and distances in Å follow each position.
Sites, in units of the cell vectors:
1 K 0.0000 0.0000 0.0000  8 Zn 3.25
2 Zn 0.2500 0.2500 0.2500  4 F 3.25, 4 K 3.25
3 Zn 0.7500 0.7500 0.7500  4 F 3.25, 4 K 3.25
4 F 0.5000 0.5000 0.5000  8 Zn 3.25

***

# 2
First-principles (PBE) data for a geometry-optimized KZnF3 structure, as listed in Alexandria.

Computed properties:
Electronic total energy   -3.999 eV/atom
Raw formation energy   -2401.5 meV/atom
DOS(E_F)   0.0000 states/eV per atom
Total magnetization   0.00 μB/cell
Crystal system   orthorhombic

abc: 3.1295 6.5898 6.5898
angles: 63.40 90.00 90.00
Closest atoms and distances in Å follow each position.
Sites, in units of the cell vectors:
1 K 0.0000 0.0000 0.0000  4 F 2.47-2.55
2 Zn 0.5000 0.3413 0.3413  5 F 1.92-2.07
3 F 0.0000 0.1999 0.5674  2 Zn 2.07
4 F 0.0000 0.5674 0.1999  2 Zn 2.07
5 F 0.5000 0.1701 0.1701  1 Zn 1.92

***

# 3
First-principles (PBE) data for a geometry-optimized K3Zn4F12 structure, as listed in Alexandria.

Computed properties:
Electronic total energy   -4.023 eV/atom
Raw formation energy   -2399.9 meV/atom
DOS(E_F)   0.4030 states/eV per atom
Total magnetization   0.00 μB/cell
Crystal system   cubic

abc: 7.0490 7.0490 7.0490
angles: 109.47 109.47 109.47
Closest atoms and distances in Å follow each position.
Sites, in units of the cell vectors:
1 K 0.0000 0.5000 0.5000  12 F 2.81-2.88
2 K 0.5000 0.0000 0.5000  12 F 2.81-2.88
3 K 0.5000 0.5000 0.0000  12 F 2.81-2.88
4 Zn 0.0000 0.0000 0.5000  6 F 2.04
5 Zn 0.0000 0.5000 0.0000  6 F 2.04
6 Zn 0.5000 0.0000 0.0000  6 F 2.04
7 Zn 0.5000 0.5000 0.5000  6 F 2.04
8 F 0.0009 0.2561 0.7448  2 Zn 2.04
9 F 0.2552 0.5113 0.2561  2 Zn 2.04
10 F 0.2552 0.9991 0.7439  2 Zn 2.04
11 F 0.2561 0.2552 0.5113  2 Zn 2.04
12 F 0.2561 0.7448 0.0009  2 Zn 2.04
13 F 0.4887 0.7439 0.7448  2 Zn 2.04
14 F 0.5113 0.2561 0.2552  2 Zn 2.04
15 F 0.7439 0.2552 0.9991  2 Zn 2.04
16 F 0.7439 0.7448 0.4887  2 Zn 2.04
17 F 0.7448 0.0009 0.2561  2 Zn 2.04
18 F 0.7448 0.4887 0.7439  2 Zn 2.04
19 F 0.9991 0.7439 0.2552  2 Zn 2.04

***

# 4
First-principles (PBE) data for a geometry-optimized K3Zn2F8 structure, as listed in Alexandria.

Computed properties:
Electronic total energy   -3.950 eV/atom
Raw formation energy   -2349.5 meV/atom
DOS(E_F)   1.1754 states/eV per atom
Total magnetization   1.22 μB/cell
Crystal system   trigonal

abc: 8.0504 8.0504 8.0504
angles: 43.92 43.92 43.92
Closest atoms and distances in Å follow each position.
Sites, in units of the cell vectors:
1 K 0.0000 0.0000 0.0000  6 F 2.79
2 K 0.1994 0.1994 0.1994  4 F 2.57-2.73
3 K 0.8006 0.8006 0.8006  4 F 2.57-2.73
4 Zn 0.4042 0.4042 0.4042  4 F 1.89-1.90
5 Zn 0.5958 0.5958 0.5958  4 F 1.89-1.90
6 F 0.2248 0.7351 0.7351  1 Zn 1.90
7 F 0.2649 0.2649 0.7752  1 Zn 1.90
8 F 0.2649 0.7752 0.2649  1 Zn 1.90
9 F 0.3175 0.3175 0.3175  1 Zn 1.89
10 F 0.6825 0.6825 0.6825  1 Zn 1.89
11 F 0.7351 0.2248 0.7351  1 Zn 1.90
12 F 0.7351 0.7351 0.2248  1 Zn 1.90
13 F 0.7752 0.2649 0.2649  1 Zn 1.90

***

# 5
First-principles (PBE) data for a geometry-optimized K2ZnF4 structure, as listed in Alexandria.

Computed properties:
ΔE to the lowest computed polymorph   60 meV/atom
Electronic total energy   -4.130 eV/atom
Raw formation energy   -2565.6 meV/atom
DOS(E_F)   0.0000 states/eV per atom
Total magnetization   0.00 μB/cell
Crystal system   monoclinic

abc: 5.9175 6.2895 7.4320
angles: 90.00 105.96 90.00
Closest atoms and distances in Å follow each position.
Sites, in units of the cell vectors:
1 K 0.0995 0.2500 0.1042  4 F 2.63-2.69
2 K 0.1954 0.7500 0.4930  6 F 2.65-2.91
3 K 0.8046 0.2500 0.5070  6 F 2.65-2.91
4 K 0.9005 0.7500 0.8958  4 F 2.63-2.69
5 Zn 0.3746 0.2500 0.7328  4 F 1.89-1.96
6 Zn 0.6254 0.7500 0.2672  4 F 1.89-1.96
7 F 0.1781 0.0190 0.7726  1 Zn 1.93
8 F 0.1781 0.4810 0.7726  1 Zn 1.93
9 F 0.2950 0.7500 0.1663  1 Zn 1.89
10 F 0.3298 0.2500 0.4609  1 Zn 1.96
11 F 0.6702 0.7500 0.5391  1 Zn 1.96
12 F 0.7050 0.2500 0.8337  1 Zn 1.89
13 F 0.8219 0.5190 0.2274  1 Zn 1.93
14 F 0.8219 0.9810 0.2274  1 Zn 1.93

***

# 6
First-principles (PBE) data for a geometry-optimized K4ZnF6 structure, as listed in Alexandria.

Computed properties:
Electronic total energy   -4.188 eV/atom
Raw formation energy   -2652.0 meV/atom
DOS(E_F)   0.0000 states/eV per atom
Total magnetization   0.00 μB/cell
Crystal system   trigonal

abc: 7.2762 7.2762 7.2762
angles: 89.47 89.47 89.47
Closest atoms and distances in Å follow each position.
Sites, in units of the cell vectors:
1 K 0.1157 0.7500 0.3843  8 F 2.75-2.90
2 K 0.2500 0.2500 0.2500  6 F 2.60
3 K 0.2500 0.6157 0.8843  8 F 2.75-2.90
4 K 0.3843 0.1157 0.7500  8 F 2.75-2.90
5 K 0.6157 0.8843 0.2500  8 F 2.75-2.90
6 K 0.7500 0.3843 0.1157  8 F 2.75-2.90
7 K 0.7500 0.7500 0.7500  6 F 2.60
8 K 0.8843 0.2500 0.6157  8 F 2.75-2.90
9 Zn 0.0000 0.0000 0.0000  6 F 2.10
10 Zn 0.5000 0.5000 0.5000  6 F 2.10
11 F 0.0571 0.9299 0.7263  1 Zn 2.10
12 F 0.0701 0.2737 0.9429  1 Zn 2.10
13 F 0.2263 0.4299 0.5571  1 Zn 2.10
14 F 0.2737 0.9429 0.0701  1 Zn 2.10
15 F 0.4299 0.5571 0.2263  1 Zn 2.10
16 F 0.4429 0.7737 0.5701  1 Zn 2.10
17 F 0.5571 0.2263 0.4299  1 Zn 2.10
18 F 0.5701 0.4429 0.7737  1 Zn 2.10
19 F 0.7263 0.0571 0.9299  1 Zn 2.10
20 F 0.7737 0.5701 0.4429  1 Zn 2.10
21 F 0.9299 0.7263 0.0571  1 Zn 2.10
22 F 0.9429 0.0701 0.2737  1 Zn 2.10

***

| no. | density (g/cm³) |
| --- | --- |
| 1 | 2.97 |
| 2 | 2.21 |
| 3 | 3.74 |
| 4 | 2.91 |
| 5 | 2.74 |
| 6 | 2.90 |